(1)
The following is a DFT calculation (PBE) of a relaxed SrCeHgRh crystal.

Computed properties:
For the total energy, the calculation gives -16.5 eV/cell. As for the space group: F-43m (216). Its crystal system is cubic. As for the formation energy: -308 meV/atom. The value obtained for the total magnetic moment is 0.1800 μB per atom. The volume comes out at 102 Å³/cell.

abc: 5.252 5.252 5.252
angles: 60.00 60.00 60.00
Atoms (fractional coordinates):
Sr 0.000 0.000 0.000
Ce 0.500 0.500 0.500
Hg 0.750 0.750 0.750
Rh 0.250 0.250 0.250



(2)
The following is a DFT calculation (PBE) of a relaxed CeThHgRh crystal.

Computed properties:
For the total energy, the calculation gives -22.5 eV/cell. As for the space group: F-43m (216). Its crystal system is cubic. As for the formation energy: -371 meV/atom. The value obtained for the total magnetic moment is 0.2043 μB per atom. The volume comes out at 99 Å³/cell.

abc: 5.196 5.196 5.196
angles: 60.00 60.00 60.00
Atoms (fractional coordinates):
Ce 0.000 0.000 0.000
Th 0.500 0.500 0.500
Hg 0.750 0.750 0.750
Rh 0.250 0.250 0.250



(3)
The following is a DFT calculation (PBE) of a relaxed CeYHgRh crystal.

Computed properties:
For the total energy, the calculation gives -22.0 eV/cell. As for the space group: F-43m (216). Its crystal system is cubic. As for the formation energy: -486 meV/atom. The value obtained for the total magnetic moment is 0.1924 μB per atom. The volume comes out at 95 Å³/cell.

abc: 5.127 5.127 5.127
angles: 60.00 60.00 60.00
Atoms (fractional coordinates):
Ce 0.000 0.000 0.000
Y 0.500 0.500 0.500
Hg 0.250 0.250 0.250
Rh 0.750 0.750 0.750



(4)
The following is a DFT calculation (PBE) of a relaxed CeHgRu2 crystal.

Computed properties:
For the total energy, the calculation gives -25.1 eV/cell. As for the space group: P4/mmm (123). Its crystal system is tetragonal. As for the formation energy: -73 meV/atom. The value obtained for the total magnetic moment is 0.1321 μB per atom. The volume comes out at 73 Å³/cell.

abc: 4.413 4.413 3.773
angles: 90.00 90.00 90.00
Atoms (fractional coordinates):
Ce 0.000 0.000 0.000
Hg 0.500 0.500 0.000
Ru 0.000 0.500 0.500
Ru 0.500 0.000 0.500



(5)
The following is a DFT calculation (PBE) of a relaxed Ce3HgRu crystal.

Computed properties:
For the total energy, the calculation gives -28.0 eV/cell. Its relative energy among the computed polymorphs is 0.140 eV per atom. As for the space group: Pm-3m (221). Its crystal system is cubic. As for the formation energy: -116 meV/atom. The value obtained for the total magnetic moment is 0.5469 μB per atom. The volume comes out at 151 Å³/cell.

abc: 5.324 5.324 5.324
angles: 90.00 90.00 90.00
Atoms (fractional coordinates):
Ce 0.000 0.000 0.500
Ce 0.000 0.500 0.000
Ce 0.500 0.000 0.000
Hg 0.500 0.500 0.500
Ru 0.000 0.000 0.000



(6)
The following is a DFT calculation (PBE) of a relaxed Ce5Hg2Ru crystal.

Computed properties:
For the total energy, the calculation gives -77.8 eV/cell. Its relative energy among the computed polymorphs is 0.266 eV per atom. As for the space group: Cmcm (63). Its crystal system is orthorhombic. As for the formation energy: 79 meV/atom. The value obtained for the total magnetic moment is 0.7265 μB per atom. The volume comes out at 545 Å³/cell.

abc: 8.487 8.487 12.183
angles: 90.00 90.00 141.60
Atoms (fractional coordinates):
Ce 0.056 0.944 0.596
Ce 0.056 0.944 0.904
Ce 0.295 0.705 0.575
Ce 0.295 0.705 0.925
Ce 0.317 0.683 0.250
Ce 0.683 0.317 0.750
Ce 0.705 0.295 0.075
Ce 0.705 0.295 0.425
Ce 0.944 0.056 0.096
Ce 0.944 0.056 0.404
Hg 0.138 0.862 0.133
Hg 0.138 0.862 0.367
Hg 0.862 0.138 0.633
Hg 0.862 0.138 0.867
Ru 0.176 0.824 0.750
Ru 0.824 0.176 0.250



(7)
The following is a DFT calculation (PBE) of a relaxed Ce6Hg5Ru crystal.

Computed properties:
For the total energy, the calculation gives -50.1 eV/cell. As for the space group: Immm (71). Its crystal system is orthorhombic. As for the formation energy: -309 meV/atom. The value obtained for the total magnetic moment is 0.3385 μB per atom. The volume comes out at 311 Å³/cell.

abc: 9.228 9.228 9.228
angles: 145.65 134.90 57.90
Atoms (fractional coordinates):
Ce 0.066 0.350 0.716
Ce 0.199 0.000 0.199
Ce 0.365 0.650 0.716
Ce 0.635 0.350 0.284
Ce 0.801 0.000 0.801
Ce 0.934 0.650 0.284
Hg 0.195 0.195 0.000
Hg 0.338 0.838 0.500
Hg 0.500 0.500 0.000
Hg 0.662 0.162 0.500
Hg 0.805 0.805 0.000
Ru 0.000 0.500 0.500



(8)
The following is a DFT calculation (PBE) of a relaxed Ce3Hg2Ru crystal.

Computed properties:
For the total energy, the calculation gives -59.2 eV/cell. Its relative energy among the computed polymorphs is 0.000 eV per atom. As for the space group: Cmcm (63). Its crystal system is orthorhombic. As for the formation energy: -320 meV/atom. The value obtained for the total magnetic moment is 0.3988 μB per atom. The volume comes out at 312 Å³/cell.

abc: 8.984 8.984 6.977
angles: 90.00 90.00 33.66
Atoms (fractional coordinates):
Ce 0.003 0.997 0.750
Ce 0.364 0.364 0.000
Ce 0.364 0.364 0.500
Ce 0.636 0.636 0.000
Ce 0.636 0.636 0.500
Ce 0.997 0.003 0.250
Hg 0.196 0.196 0.250
Hg 0.196 0.196 0.750
Hg 0.804 0.804 0.250
Hg 0.804 0.804 0.750
Ru 0.496 0.504 0.250
Ru 0.504 0.496 0.750



(9)
The following is a DFT calculation (PBE) of a relaxed Ce6Hg2Ru crystal.

Computed properties:
For the total energy, the calculation gives -47.5 eV/cell. As for the space group: P-62m (189). Its crystal system is hexagonal. As for the formation energy: -224 meV/atom. The value obtained for the total magnetic moment is 0.4421 μB per atom. The volume comes out at 238 Å³/cell.

abc: 8.711 8.711 3.624
angles: 90.00 90.00 120.00
Atoms (fractional coordinates):
Ce 0.000 0.394 0.000
Ce 0.000 0.754 0.500
Ce 0.246 0.246 0.500
Ce 0.394 0.000 0.000
Ce 0.606 0.606 0.000
Ce 0.754 0.000 0.500
Hg 0.333 0.667 0.500
Hg 0.667 0.333 0.500
Ru 0.000 0.000 0.000



(10)
The following is a DFT calculation (PBE) of a relaxed CeHgRu crystal.

Computed properties:
For the total energy, the calculation gives -33.2 eV/cell. Its relative energy among the computed polymorphs is 0.016 eV per atom. As for the space group: C2/m (12). Its crystal system is monoclinic. As for the formation energy: -360 meV/atom. The value obtained for the total magnetic moment is 0.0000 μB per atom. The volume comes out at 135 Å³/cell.

abc: 6.477 6.477 4.888
angles: 103.91 103.91 43.12
Atoms (fractional coordinates):
Ce 0.137 0.137 0.339
Ce 0.863 0.863 0.661
Hg 0.427 0.427 0.205
Hg 0.573 0.573 0.795
Ru 0.205 0.205 0.823
Ru 0.795 0.795 0.177



(11)
The following is a DFT calculation (PBE) of a relaxed Ce8Hg2Ru crystal.

Computed properties:
For the total energy, the calculation gives -59.0 eV/cell. As for the space group: C2/m (12). Its crystal system is monoclinic. As for the formation energy: -147 meV/atom. The value obtained for the total magnetic moment is 0.4134 μB per atom. The volume comes out at 290 Å³/cell.

abc: 9.230 9.230 6.540
angles: 107.05 107.05 33.15
Atoms (fractional coordinates):
Ce 0.000 0.000 0.218
Ce 0.000 0.000 0.782
Ce 0.213 0.213 0.205
Ce 0.344 0.344 0.056
Ce 0.413 0.413 0.591
Ce 0.587 0.587 0.409
Ce 0.656 0.656 0.944
Ce 0.787 0.787 0.795
Hg 0.172 0.172 0.660
Hg 0.828 0.828 0.340
Ru 0.500 0.500 0.000



(12)
The following is a DFT calculation (PBE) of a relaxed CeHgRu crystal.

Computed properties:
For the total energy, the calculation gives -33.3 eV/cell. Its relative energy among the computed polymorphs is 0.000 eV per atom. As for the space group: Cmcm (63). Its crystal system is orthorhombic. As for the formation energy: -376 meV/atom. The value obtained for the total magnetic moment is 0.0000 μB per atom. The volume comes out at 132 Å³/cell.

abc: 9.406 9.406 3.838
angles: 90.00 90.00 157.04
Atoms (fractional coordinates):
Ce 0.089 0.911 0.750
Ce 0.911 0.089 0.250
Hg 0.290 0.710 0.750
Hg 0.710 0.290 0.250
Ru 0.442 0.558 0.750
Ru 0.558 0.442 0.250



(13)
The following is a DFT calculation (PBE) of a relaxed Ce2HgRu crystal.

Computed properties:
For the total energy, the calculation gives -22.8 eV/cell. Its relative energy among the computed polymorphs is 0.009 eV per atom. As for the space group: P4/mmm (123). Its crystal system is tetragonal. As for the formation energy: -333 meV/atom. The value obtained for the total magnetic moment is 0.1847 μB per atom. The volume comes out at 94 Å³/cell.

abc: 3.312 3.312 8.550
angles: 90.00 90.00 90.00
Atoms (fractional coordinates):
Ce 0.000 0.000 0.210
Ce 0.000 0.000 0.790
Hg 0.500 0.500 0.500
Ru 0.500 0.500 0.000



(14)
The following is a DFT calculation (PBE) of a relaxed Ce4HgRu crystal.

Computed properties:
For the total energy, the calculation gives -69.4 eV/cell. As for the space group: C2/c (15). Its crystal system is monoclinic. As for the formation energy: -229 meV/atom. The value obtained for the total magnetic moment is 0.2063 μB per atom. The volume comes out at 298 Å³/cell.

abc: 7.630 7.630 5.830
angles: 99.23 99.23 113.45
Atoms (fractional coordinates):
Ce 0.087 0.692 0.888
Ce 0.176 0.367 0.671
Ce 0.308 0.913 0.612
Ce 0.367 0.176 0.171
Ce 0.633 0.824 0.829
Ce 0.692 0.087 0.388
Ce 0.824 0.633 0.329
Ce 0.913 0.308 0.112
Hg 0.388 0.612 0.250
Hg 0.612 0.388 0.750
Ru 0.018 0.982 0.250
Ru 0.982 0.018 0.750



(15)
The following is a DFT calculation (PBE) of a relaxed Ce4Hg3Ru2 crystal.

Computed properties:
For the total energy, the calculation gives -91.7 eV/cell. Its relative energy among the computed polymorphs is 0.006 eV per atom. As for the space group: C2/c (15). Its crystal system is monoclinic. As for the formation energy: -293 meV/atom. The value obtained for the total magnetic moment is 0.0000 μB per atom. The volume comes out at 453 Å³/cell.

abc: 8.804 8.804 6.733
angles: 91.15 91.15 60.27
Atoms (fractional coordinates):
Ce 0.119 0.696 0.876
Ce 0.228 0.352 0.464
Ce 0.304 0.881 0.624
Ce 0.352 0.228 0.964
Ce 0.648 0.772 0.036
Ce 0.696 0.119 0.376
Ce 0.772 0.648 0.536
Ce 0.881 0.304 0.124
Hg 0.064 0.774 0.380
Hg 0.226 0.936 0.120
Hg 0.466 0.534 0.250
Hg 0.534 0.466 0.750
Hg 0.774 0.064 0.880
Hg 0.936 0.226 0.620
Ru 0.037 0.455 0.807
Ru 0.455 0.037 0.307
Ru 0.545 0.963 0.693
Ru 0.963 0.545 0.193



(16)
The following is a DFT calculation (PBE) of a relaxed CeHgRu crystal.

Computed properties:
For the total energy, the calculation gives -33.0 eV/cell. Its relative energy among the computed polymorphs is 0.050 eV per atom. As for the space group: C2/m (12). Its crystal system is monoclinic. As for the formation energy: -327 meV/atom. The value obtained for the total magnetic moment is 0.0000 μB per atom. The volume comes out at 135 Å³/cell.

abc: 5.246 5.246 7.637
angles: 118.42 118.42 49.01
Atoms (fractional coordinates):
Ce 0.089 0.089 0.329
Ce 0.911 0.911 0.671
Hg 0.328 0.328 0.943
Hg 0.672 0.672 0.057
Ru 0.338 0.338 0.349
Ru 0.662 0.662 0.651



(17)
The following is a DFT calculation (PBE) of a relaxed Ce5Hg2Ru crystal.

Computed properties:
For the total energy, the calculation gives -41.0 eV/cell. Its relative energy among the computed polymorphs is 0.000 eV per atom. As for the space group: P1 (1). Its crystal system is triclinic. As for the formation energy: -186 meV/atom. The value obtained for the total magnetic moment is 0.2880 μB per atom. The volume comes out at 207 Å³/cell.

abc: 6.425 6.435 6.460
angles: 108.66 106.57 112.61
Atoms (fractional coordinates):
Ce 0.000 0.000 0.000
Ce 0.011 0.500 0.509
Ce 0.453 0.441 0.575
Ce 0.506 0.001 0.515
Ce 0.530 0.523 0.044
Hg 0.011 0.506 0.005
Hg 0.503 0.002 0.013
Ru 0.892 0.883 0.559



(18)
The following is a DFT calculation (PBE) of a relaxed Ce3Hg2Ru2 crystal.

Computed properties:
For the total energy, the calculation gives -39.2 eV/cell. As for the space group: C2/m (12). Its crystal system is monoclinic. As for the formation energy: -324 meV/atom. The value obtained for the total magnetic moment is 0.0969 μB per atom. The volume comes out at 159 Å³/cell.

abc: 4.897 4.897 8.126
angles: 107.38 107.38 60.25
Atoms (fractional coordinates):
Ce 0.000 0.000 0.000
Ce 0.422 0.422 0.266
Ce 0.578 0.578 0.734
Hg 0.174 0.174 0.522
Hg 0.826 0.826 0.478
Ru 0.304 0.304 0.913
Ru 0.696 0.696 0.087



(19)
The following is a DFT calculation (PBE) of a relaxed Ce7HgRu3 crystal.

Computed properties:
For the total energy, the calculation gives -72.1 eV/cell. As for the space group: C2/m (12). Its crystal system is monoclinic. As for the formation energy: -225 meV/atom. The value obtained for the total magnetic moment is 0.3275 μB per atom. The volume comes out at 284 Å³/cell.

abc: 6.666 6.666 6.556
angles: 98.61 98.61 93.90
Atoms (fractional coordinates):
Ce 0.000 0.000 0.000
Ce 0.116 0.536 0.286
Ce 0.338 0.338 0.799
Ce 0.464 0.884 0.714
Ce 0.536 0.116 0.286
Ce 0.662 0.662 0.201
Ce 0.884 0.464 0.714
Hg 0.000 0.000 0.500
Ru 0.258 0.742 0.000
Ru 0.500 0.500 0.500
Ru 0.742 0.258 0.000



(20)
The following is a DFT calculation (PBE) of a relaxed Ce5Hg4Ru crystal.

Computed properties:
For the total energy, the calculation gives -42.3 eV/cell. As for the space group: I4/m (87). Its crystal system is tetragonal. As for the formation energy: -212 meV/atom. The value obtained for the total magnetic moment is 0.5308 μB per atom. The volume comes out at 289 Å³/cell.

abc: 7.620 7.620 7.620
angles: 98.40 98.40 135.06
Atoms (fractional coordinates):
Ce 0.000 0.000 0.000
Ce 0.259 0.378 0.637
Ce 0.378 0.741 0.119
Ce 0.622 0.259 0.881
Ce 0.741 0.622 0.363
Hg 0.062 0.647 0.709
Hg 0.353 0.062 0.415
Hg 0.647 0.938 0.585
Hg 0.938 0.353 0.291
Ru 0.500 0.500 0.000